Record 1
Here is crystalline Ac2TmPd2 at its relaxed geometry from Alexandria via LeMat-Bulk. Energies are from PBE.

Calculated values
The space group is P4/mbm. The crystal system is tetragonal.

Cell and atoms, written as extended XYZ:
```
10
Lattice="4.3155 0.0000 0.0000 0.0000 8.1230 0.0000 0.0000 0.0000 8.1230" Properties=species:S:1:pos:R:3 pbc="T T T"
Ac 0.0000 6.7394 6.7394
Ac 0.0000 1.3836 1.3836
Ac 0.0000 5.4451 2.6779
Ac 0.0000 2.6779 5.4451
Tm 2.1578 4.0615 0.0000
Tm 2.1578 0.0000 4.0615
Pd 2.1578 2.9748 2.9748
Pd 2.1578 7.0363 1.0867
Pd 2.1578 5.1482 5.1482
Pd 2.1578 1.0867 7.0363
```



Record 2
Here is crystalline Ac2TmZn3Pd4 at its relaxed geometry from Alexandria via LeMat-Bulk. Energies are from PBE.

Calculated values
The space group is P-4m2. The crystal system is tetragonal.

Cell and atoms, written as extended XYZ:
```
10
Lattice="4.4248 0.0000 0.0000 0.0000 4.4248 0.0000 0.0000 0.0000 11.2594" Properties=species:S:1:pos:R:3 pbc="T T T"
Zn 2.2124 0.0000 9.9440
Zn 0.0000 2.2124 1.3154
Zn 0.0000 0.0000 5.6297
Tm 2.2124 2.2124 5.6297
Pd 0.0000 2.2124 3.9195
Pd 0.0000 0.0000 0.0000
Pd 2.2124 0.0000 7.3399
Pd 2.2124 2.2124 0.0000
Ac 0.0000 2.2124 8.7300
Ac 2.2124 0.0000 2.5294
```



Record 3
Here is crystalline Ac2TmZnPd6 at its relaxed geometry from Alexandria via LeMat-Bulk. Energies are from PBE.

Calculated values
The space group is R-3m. The crystal system is trigonal.

Cell and atoms, written as extended XYZ:
```
10
Lattice="-3.2511 1.1382 -4.7330 -6.6939 -4.8980 3.4164 -8.6202 0.5405 2.4280" Properties=species:S:1:pos:R:3 pbc="T T T"
Pd -11.9042 -2.5893 0.3082
Pd -6.6610 -0.6300 0.8032
Pd -4.2531 -0.3972 -2.6159
Pd -14.3121 -2.8222 3.7273
Pd -15.9471 -2.2505 1.3499
Pd -2.6181 -0.9689 -0.2385
Ac -10.8745 -3.2933 3.0519
Ac -7.6906 0.0739 -1.9405
Zn -4.9725 -1.8799 -0.6583
Tm 0.0000 0.0000 0.0000
```



Record 4
Here is crystalline AcVPd2 at its relaxed geometry from Alexandria via LeMat-Bulk. Energies are from PBE.

Calculated values
The space group is R-3m. The crystal system is trigonal.

Cell and atoms, written as extended XYZ:
```
4
Lattice="-1.7527 -4.0934 0.3974 -1.1376 -2.3089 -3.6552 3.8764 -4.2245 -1.2718" Properties=species:S:1:pos:R:3 pbc="T T T"
V 0.0000 0.0000 0.0000
Pd 1.3757 -8.2449 -3.4217
Pd -0.3896 -2.3820 -1.1080
Ac 0.4930 -5.3134 -2.2648
```



Record 5
Here is crystalline AcYPd4 at its relaxed geometry from Alexandria via LeMat-Bulk. Energies are from PBE.

Calculated values
The space group is F-43m. The crystal system is cubic.

Cell and atoms, written as extended XYZ:
```
6
Lattice="-5.2349 -1.8971 0.1183 -2.4476 -1.7139 -4.6999 -1.0171 -5.4177 -0.7944" Properties=species:S:1:pos:R:3 pbc="T T T"
Pd -4.2130 -4.7870 -1.0039
Pd -5.4413 -5.6471 -3.3625
Pd -2.8142 -4.6951 -3.4218
Pd -4.9308 -2.9283 -2.9638
Ac -2.1749 -2.2572 -1.3440
Y 0.0000 0.0000 0.0000
```



Record 6
Here is crystalline Ac2YPd at its relaxed geometry from Alexandria via LeMat-Bulk. Energies are from PBE.

Calculated values
The space group is R-3m. The crystal system is trigonal.

Cell and atoms, written as extended XYZ:
```
4
Lattice="-1.2771 -2.2306 -2.7503 -2.8494 -2.3677 0.6672 -8.9846 6.7315 -3.8637" Properties=species:S:1:pos:R:3 pbc="T T T"
Y -6.5556 1.0666 -2.9734
Ac -7.1779 4.7692 -3.1112
Ac -5.9332 -2.6360 -2.8356
Pd 0.0000 0.0000 0.0000
```



Record 7
Here is crystalline Ac3YPd12 at its relaxed geometry from Alexandria via LeMat-Bulk. Energies are from PBE.

Calculated values
The space group is P4/mmm. The crystal system is tetragonal.

Cell and atoms, written as extended XYZ:
```
16
Lattice="-3.1026 -1.4038 -2.5789 2.6952 -2.8504 -1.6909 -4.6569 -11.4120 11.8145" Properties=species:S:1:pos:R:3 pbc="T T T"
Pd -0.3869 -5.6756 3.5549
Pd -5.6649 -10.7826 9.1468
Pd -1.3451 -4.9240 0.7607
Pd -3.2858 -4.9523 3.1109
Pd 0.8043 -2.7565 0.5328
Pd -0.2037 -2.1271 -2.1349
Pd -1.5748 -8.5868 6.5687
Pd -2.5322 -7.8331 3.7723
Pd -4.4737 -7.8635 6.1247
Pd -2.7660 -11.5059 9.5908
Pd -2.0946 -2.0332 0.0888
Pd -3.7193 -10.7421 6.7840
Ac -2.3284 -5.7060 5.9073
Ac -3.5210 -8.6284 8.9327
Ac -1.1359 -2.7836 2.8818
Y 0.0000 0.0000 0.0000
```



Record 8
Here is crystalline AcYPd4 at its relaxed geometry from Alexandria via LeMat-Bulk. Energies are from PBE.

Calculated values
The space group is Cmcm. The crystal system is orthorhombic.

Cell and atoms, written as extended XYZ:
```
12
Lattice="4.2315 0.0000 -0.8676 0.0000 5.8481 0.0000 -0.0770 0.0000 10.3775" Properties=species:S:1:pos:R:3 pbc="T T T"
Ac 1.1473 4.3861 5.5959
Ac 3.0072 1.4620 3.9141
Pd 0.0000 2.9241 0.0000
Pd 0.0000 0.0000 0.0000
Pd 1.7567 4.3861 8.5683
Pd 3.5811 2.9530 6.7133
Pd 0.5734 2.8951 2.7966
Pd 0.5734 0.0289 2.7966
Pd 3.5811 5.8192 6.7133
Pd 2.3978 1.4620 0.9417
Y 2.4127 4.3861 1.0146
Y 1.7418 1.4620 8.4953
```



Record 9
Here is crystalline Ac2Y3Pd4 at its relaxed geometry from Alexandria via LeMat-Bulk. Energies are from PBE.

Calculated values
The space group is P2_1/c. The crystal system is monoclinic.

Cell and atoms, written as extended XYZ:
```
18
Lattice="8.2714 0.1166 0.0000 -2.6114 7.2945 0.0000 0.0000 0.0000 7.7787" Properties=species:S:1:pos:R:3 pbc="T T T"
Y 5.5607 1.8865 6.5275
Y -1.3057 3.6473 3.8894
Y 1.4250 1.8282 5.1406
Y 2.8300 3.7055 0.0000
Y 4.2351 5.5829 2.6381
Y 0.0993 5.5246 1.2513
Pd -0.2717 3.6191 6.7430
Pd 7.0033 0.7937 4.2324
Pd 2.7924 6.6756 0.3430
Pd 3.8640 3.6774 4.9251
Pd 5.9317 3.7919 1.0357
Pd 2.8676 0.7355 7.4357
Pd 1.7960 3.7337 2.8536
Pd -1.3433 6.6173 3.5463
Ac 4.3609 1.5127 2.5480
Ac 0.2252 1.4544 1.3413
Ac 5.4348 5.9567 6.4374
Ac 1.2991 5.8984 5.2307
```



Record 10
Here is crystalline Ac2YPd at its relaxed geometry from Alexandria via LeMat-Bulk. Energies are from PBE.

Calculated values
The space group is P4/mmm. The crystal system is tetragonal.

Cell and atoms, written as extended XYZ:
```
4
Lattice="-1.7916 3.4585 0.1621 -3.4597 -1.7954 0.0668 0.3020 -0.2552 8.7841" Properties=species:S:1:pos:R:3 pbc="T T T"
Pd -2.6257 0.8315 0.1144
Ac 0.2401 -0.2029 6.9832
Ac 0.0619 -0.0523 1.8009
Y -2.4747 0.7040 4.5065
```



Record 11
Here is crystalline AcYZnPd at its relaxed geometry from Alexandria via LeMat-Bulk. Energies are from PBE.

Calculated values
The space group is F-43m. The crystal system is cubic.

Cell and atoms, written as extended XYZ:
```
4
Lattice="5.2571 0.0000 0.0000 2.6285 4.5528 0.0000 2.6285 1.5176 4.2924" Properties=species:S:1:pos:R:3 pbc="T T T"
Pd 5.2571 3.0352 2.1462
Y 7.8856 4.5528 3.2193
Ac 2.6285 1.5176 1.0731
Zn 0.0000 0.0000 0.0000
```



Record 12
Here is crystalline AcYZn2Pd2 at its relaxed geometry from Alexandria via LeMat-Bulk. Energies are from PBE.

Calculated values
The space group is P-3m1. The crystal system is trigonal.

Cell and atoms, written as extended XYZ:
```
6
Lattice="4.5530 0.0000 0.0000 -2.2765 3.9430 0.0000 0.0000 0.0000 7.4476" Properties=species:S:1:pos:R:3 pbc="T T T"
Y 0.0000 0.0000 3.7238
Pd 2.2765 1.3143 2.1363
Pd 0.0000 2.6287 5.3113
Zn 2.2765 1.3143 5.2715
Zn 0.0000 2.6287 2.1761
Ac 0.0000 0.0000 0.0000
```



Record 13
Here is crystalline Ac2YZnPd6 at its relaxed geometry from Alexandria via LeMat-Bulk. Energies are from PBE.

Calculated values
The space group is C2/m. The crystal system is monoclinic.

Cell and atoms, written as extended XYZ:
```
10
Lattice="-4.2539 -3.6119 -1.7243 5.9141 -6.9319 -0.0778 1.5443 -8.2470 3.5664" Properties=species:S:1:pos:R:3 pbc="T T T"
Pd 2.6887 -16.0074 2.1432
Pd -1.6173 -4.5963 -1.2431
Pd 1.0852 -6.6076 1.2704
Pd 0.5158 -2.7834 -0.3789
Pd 2.1193 -12.1832 0.4939
Pd 4.8218 -14.1944 3.0075
Ac 4.6346 -10.9602 1.6202
Ac -1.4301 -7.8306 0.1441
Zn 0.8301 -5.2719 -0.9011
Y 0.0000 0.0000 0.0000
```



Results for total energy: -5.2795 -4.3967 -5.1246 -6.2747 -5.9836 -4.8023 -5.8228 -6.0415 -6.1637 -5.2632 -4.7327 -4.6090 -5.3133 (in eV per atom, following the order of the records).